TmMgGa4Ni2: optimized geometry, PBE.

Computed properties:
Final energy = -4.16 eV/atom
Space group = Amm2 (38)
ρ = 7.5 g cm⁻³
Magnetization = 0.0 μB per formula unit

Cell lengths 6.7349, 5.2112, 5.2112 Å; angles 45.55, 90.00, 90.00 degrees
Positions (direct):
Ga  0.1937  0.1457  0.1457
Ga  0.8063  0.1457  0.1457
Ga  0.2980  0.8575  0.8575
Ga  0.7020  0.8575  0.8575
Mg  0.0000  0.4330  0.4330
Ni  0.5000  0.2843  0.2843
Ni  0.0000  0.7100  0.7100
Tm  0.5000  0.5663  0.5663